{"formula": "ZrRe2O", "functional": "PBE", "state": "relaxed", "spacegroup": "I-42d, No. 122", "n_ef_per_ev_atom": 0.55, "raw_formation_energy_ev_per_atom": -0.09, "magnetic_moment_mub_per_atom": 0.000, "final_energy_ev_per_atom": -9.6891, "lattice_angstrom": [[-3.591, 3.591, 2.305], [3.591, -3.591, 2.305], [3.591, 3.591, -2.305]], "species": ["Zr", "Zr", "Re", "Re", "Re", "Re", "O", "O"], "frac_coords": [[0.000, 0.000, 0.000], [0.750, 0.250, 0.500], [0.220, 0.625, 0.095], [0.375, 0.470, 0.595], [0.530, 0.125, 0.905], [0.875, 0.780, 0.405], [0.250, 0.750, 0.500], [0.500, 0.500, 0.000]]}



{"formula": "ZrReO2", "functional": "PBE", "state": "relaxed", "relative_energy_mev_per_atom": 252.5, "spacegroup": "I-42d, No. 122", "n_ef_per_ev_atom": 0.38, "raw_formation_energy_ev_per_atom": -1.23, "magnetic_moment_mub_per_atom": 0.000, "final_energy_ev_per_atom": -8.9548, "lattice_angstrom": [[-2.049, 2.049, 6.270], [2.049, -2.049, 6.270], [2.049, 2.049, -6.270]], "species": ["Zr", "Zr", "Re", "Re", "O", "O", "O", "O"], "frac_coords": [[0.000, 0.000, 0.000], [0.750, 0.250, 0.500], [0.250, 0.750, 0.500], [0.500, 0.500, 0.000], [0.151, 0.625, 0.026], [0.375, 0.401, 0.526], [0.599, 0.125, 0.974], [0.875, 0.849, 0.474]]}



{"formula": "Zr3ReO", "functional": "PBE", "state": "relaxed", "spacegroup": "Pm-3m, No. 221", "n_ef_per_ev_atom": 1.67, "raw_formation_energy_ev_per_atom": -0.92, "magnetic_moment_mub_per_atom": 0.000, "final_energy_ev_per_atom": -9.5275, "lattice_angstrom": [[4.430, 0.000, 0.000], [0.000, 4.430, 0.000], [0.000, 0.000, 4.430]], "species": ["Zr", "Zr", "Zr", "Re", "O"], "frac_coords": [[0.000, 0.000, 0.500], [0.000, 0.500, 0.000], [0.500, 0.000, 0.000], [0.500, 0.500, 0.500], [0.000, 0.000, 0.000]]}



{"formula": "Zr2ReO", "functional": "PBE", "state": "relaxed", "spacegroup": "R-3m, No. 166", "n_ef_per_ev_atom": 0.93, "raw_formation_energy_ev_per_atom": -0.69, "magnetic_moment_mub_per_atom": 0.001, "final_energy_ev_per_atom": -9.3189, "lattice_angstrom": [[1.477, 0.853, 8.517], [-1.477, 0.853, 8.517], [0.000, -1.705, 8.517]], "species": ["Zr", "Zr", "Re", "O"], "frac_coords": [[0.104, 0.104, 0.104], [0.896, 0.896, 0.896], [0.000, 0.000, 0.000], [0.500, 0.500, 0.500]]}



{"formula": "Zr3ReO", "functional": "PBE", "state": "relaxed", "spacegroup": "Pm-3m, No. 221", "n_ef_per_ev_atom": 1.73, "raw_formation_energy_ev_per_atom": 0.89, "magnetic_moment_mub_per_atom": 0.000, "final_energy_ev_per_atom": -7.7198, "lattice_angstrom": [[5.067, 0.000, 0.000], [0.000, 5.067, 0.000], [0.000, 0.000, 5.067]], "species": ["Zr", "Zr", "Zr", "Re", "O"], "frac_coords": [[0.000, 0.000, 0.500], [0.000, 0.500, 0.000], [0.500, 0.000, 0.000], [0.000, 0.000, 0.000], [0.500, 0.500, 0.500]]}



{"formula": "Zr2ReO", "functional": "PBE", "state": "relaxed", "spacegroup": "I-42d, No. 122", "n_ef_per_ev_atom": 0.85, "raw_formation_energy_ev_per_atom": -0.78, "magnetic_moment_mub_per_atom": 0.000, "final_energy_ev_per_atom": -9.4068, "lattice_angstrom": [[-3.141, 3.141, 3.651], [3.141, -3.141, 3.651], [3.141, 3.141, -3.651]], "species": ["Zr", "Zr", "Zr", "Zr", "Re", "Re", "O", "O"], "frac_coords": [[0.049, 0.625, 0.924], [0.375, 0.299, 0.424], [0.701, 0.125, 0.076], [0.875, 0.951, 0.576], [0.250, 0.750, 0.500], [0.500, 0.500, 0.000], [0.000, 0.000, 0.000], [0.750, 0.250, 0.500]]}